DFT (PBE) results for a geometry-optimized LaTbMgSn structure.

Lattice parameters (Å, degrees): 5.436 5.436 5.436 60.00 60.00 60.00
Fractional positions:
La (0.500, 0.500, 0.500)
Mg (0.750, 0.750, 0.750)
Tb (0.000, 0.000, 0.000)
Sn (0.250, 0.250, 0.250)

Calculated values
Space group: F-43m, No. 216
ΔH_f (0 K) (meV/atom): -436
Calculated density (g/cm³): 6.4

***

DFT (PBE) results for a geometry-optimized Hg5H2I2 structure.

Lattice parameters (Å, degrees): 6.460 11.059 11.195 51.75 71.97 74.29
Fractional positions:
H (0.658, 0.798, 0.085)
H (0.538, 0.024, 0.156)
H (0.219, 0.344, 0.476)
H (0.041, 0.415, 0.702)
Hg (0.057, 0.504, 0.776)
Hg (0.390, 0.272, 0.990)
Hg (0.197, 0.210, 0.667)
Hg (0.153, 0.510, 0.228)
Hg (0.574, 0.833, 0.290)
Hg (0.110, 0.160, 0.340)
Hg (0.027, 0.840, 0.384)
Hg (0.600, 0.051, 0.449)
Hg (0.751, 0.116, 0.660)
Hg (0.837, 0.724, 0.996)
I (0.624, 0.526, 0.513)
I (0.163, 0.987, 0.974)
I (0.181, 0.743, 0.757)
I (0.709, 0.443, 0.057)

Calculated values
Space group: Cm, No. 8
Calculated density (g/cm³): 7.0
Calculated total energy (eV per cell): -22.03

***

DFT (PBE) results for a geometry-optimized Y2Cu2Ni structure.

Lattice parameters (Å, degrees): 3.943 5.355 10.002 89.19 78.63 68.40
Fractional positions:
Y (0.326, 0.689, 0.659)
Y (0.925, 0.270, 0.880)
Y (0.674, 0.311, 0.341)
Y (0.075, 0.730, 0.120)
Ni (0.387, 0.899, 0.326)
Ni (0.613, 0.101, 0.674)
Cu (0.370, 0.149, 0.112)
Cu (0.907, 0.742, 0.443)
Cu (0.630, 0.851, 0.888)
Cu (0.093, 0.258, 0.557)

Calculated values
Space group: C2/m, No. 12
ΔH_f (0 K) (meV/atom): -311
Calculated density (g/cm³): 6.3

***

DFT (PBE) results for a geometry-optimized Zr2MnCu structure.

Lattice parameters (Å, degrees): 5.281 5.281 5.281 135.91 135.91 64.12
Each line ends with the local moment (μB).
Fractional positions:
Mn (0.750, 0.250, 0.500)  2.69
Zr (0.250, 0.750, 0.500)  -0.35
Zr (0.000, 0.000, 0.000)  -0.27
Cu (0.500, 0.500, 0.000)  -0.02

Calculated values
Space group: I-4m2, No. 119
ΔH_f (0 K) (meV/atom): 74
Calculated density (g/cm³): 7.1

***

DFT (PBE) results for a geometry-optimized Tb6HgSe3S2 structure.

Lattice parameters (Å, degrees): 3.998 8.362 9.140 103.57 102.63 90.00
Fractional positions:
S (0.831, 0.663, 0.661)
S (0.169, 0.337, 0.339)
Tb (0.670, 0.572, 0.341)
Tb (0.330, 0.428, 0.659)
Tb (0.005, 0.260, 0.011)
Tb (0.995, 0.740, 0.989)
Tb (0.330, 0.901, 0.661)
Tb (0.670, 0.099, 0.339)
Se (0.500, 0.500, 0.000)
Se (0.834, 0.170, 0.669)
Se (0.166, 0.830, 0.331)
Hg (0.500, 0.000, 0.000)

Calculated values
Space group: C2/m, No. 12
Formation energy from raw total energies (eV per atom): -1.61
Calculated density (g/cm³): 8.3

***

DFT (PBE) results for a geometry-optimized Tl2NiSb structure.

Lattice parameters (Å, degrees): 3.248 3.245 8.872 90.00 90.00 90.00
Fractional positions:
Sb (0.500, 0.500, 0.750)
Ni (0.500, 0.500, 0.250)
Tl (0.000, 0.000, 0.059)
Tl (0.000, 0.000, 0.441)

Calculated values
Space group: P4/mmm, No. 123
Formation energy from raw total energies (eV per atom): 0.30
Calculated density (g/cm³): 10.5

***

DFT (PBE) results for a geometry-optimized CeSmInBi structure.

Lattice parameters (Å, degrees): 5.516 5.516 5.516 60.00 60.00 60.00
Each line ends with the local moment (μB).
Fractional positions:
Sm (0.500, 0.500, 0.500)  0.20
Bi (0.750, 0.750, 0.750)  0.04
In (0.250, 0.250, 0.250)  0.04
Ce (0.000, 0.000, 0.000)  0.99

Calculated values
Space group: F-43m, No. 216
ΔH_f (0 K) (meV/atom): -453
Calculated density (g/cm³): 8.6

***

DFT (PBE) results for a geometry-optimized La2CoN structure.

Lattice parameters (Å, degrees): 4.307 4.307 17.161 90.00 90.00 120.00
Fractional positions:
Co (0.667, 0.333, 0.570)
Co (0.000, 0.000, 0.237)
Co (0.333, 0.667, 0.903)
La (0.333, 0.667, 0.653)
La (0.000, 0.000, 0.986)
La (0.333, 0.667, 0.146)
La (0.667, 0.333, 0.813)
La (0.000, 0.000, 0.479)
La (0.667, 0.333, 0.320)
N (0.333, 0.667, 0.791)
N (0.667, 0.333, 0.458)
N (0.000, 0.000, 0.125)

Calculated values
Space group: R3m, No. 160
Formation energy from raw total energies (eV per atom): -0.58
Calculated density (g/cm³): 6.3

***

DFT (PBE) results for a geometry-optimized PrErTh structure.

Lattice parameters (Å, degrees): 7.697 7.697 6.890 90.00 90.00 90.64
Fractional positions:
Er (0.342, 0.658, 0.000)
Er (0.658, 0.342, 0.000)
Er (0.842, 0.158, 0.500)
Er (0.158, 0.842, 0.500)
Pr (0.656, 0.656, 0.500)
Pr (0.156, 0.156, 0.000)
Pr (0.344, 0.344, 0.500)
Pr (0.844, 0.844, 0.000)
Th (0.000, 0.500, 0.250)
Th (0.000, 0.500, 0.750)
Th (0.500, 0.000, 0.250)
Th (0.500, 0.000, 0.750)

Calculated values
Space group: Fmmm, No. 69
ΔH_f (0 K) (meV/atom): 231
Calculated density (g/cm³): 8.8

***

DFT (PBE) results for a geometry-optimized HfTa5Mo4 structure.

Lattice parameters (Å, degrees): 3.242 3.242 16.640 90.00 90.00 90.00
Fractional positions:
Mo (0.000, 0.000, 0.208)
Mo (0.000, 0.000, 0.403)
Mo (0.000, 0.000, 0.792)
Mo (0.000, 0.000, 0.597)
Ta (0.500, 0.500, 0.693)
Ta (0.500, 0.500, 0.116)
Ta (0.500, 0.500, 0.307)
Ta (0.500, 0.500, 0.500)
Ta (0.500, 0.500, 0.884)
Hf (0.000, 0.000, 0.000)

Calculated values
Space group: P4/mmm, No. 123
ΔH_f (0 K) (meV/atom): -134
Calculated density (g/cm³): 13.9

***

DFT (PBE) results for a geometry-optimized BaCaP2 structure.

Lattice parameters (Å, degrees): 5.179 5.179 5.179 60.00 60.00 60.00
Fractional positions:
P (0.000, 0.000, 0.000)
P (0.250, 0.250, 0.250)
Ca (0.750, 0.750, 0.750)
Ba (0.500, 0.500, 0.500)

Calculated values
Space group: F-43m, No. 216
ΔH_f (0 K) (meV/atom): -91
Calculated density (g/cm³): 4.0

***

DFT (PBE) results for a geometry-optimized K2ReAg structure.

Lattice parameters (Å, degrees): 2.845 2.845 11.658 90.00 90.00 107.57
Fractional positions:
K (0.000, 0.000, 0.009)
K (0.000, 0.000, 0.491)
Re (0.500, 0.500, 0.250)
Ag (0.500, 0.500, 0.750)

Calculated values
Space group: Cmmm, No. 65
ΔH_f (0 K) (meV/atom): 1037
Calculated density (g/cm³): 6.9